# meta-GGA SCAN Ba5Mg18Si13, single point on PBEsol structure
# formation energy from raw total energies = -0.3141 eV/atom
# VASP energy = -11.911 eV per atom
data_Ba5Mg18Si13
_space_group_name_H-M_alt 'P -6 2 m'
_space_group_IT_number 189
_space_group_name_Hall 'P -6 -2'
_cell_length_a 14.4367
_cell_length_b 14.4367
_cell_length_c 4.4568
_cell_angle_alpha 90.00
_cell_angle_beta 90.00
_cell_angle_gamma 120.00
loop_
_atom_site_label
_atom_site_fract_x
_atom_site_fract_y
_atom_site_fract_z
Ba1 0.0000 0.1804 0.0000
Ba2 0.3333 0.6667 0.5000
Mg1 0.0000 0.5584 0.5000
Mg2 0.0000 0.7228 0.0000
Mg3 0.1220 0.4828 0.0000
Mg4 0.1776 0.8051 0.5000
Si1 0.0000 0.0000 0.5000
Si2 0.0000 0.3697 0.5000
Si3 0.0000 0.8344 0.5000
Si4 0.1664 0.6908 0.0000